# PBE with a Hubbard U K4Pa3MnO12, optimized geometry
data_K4Pa3MnO12
_cell_length_a 8.550
_cell_length_b 8.550
_cell_length_c 8.550
_cell_angle_alpha 90.00
_cell_angle_beta 90.00
_cell_angle_gamma 90.00
_symmetry_space_group_name_H-M 'I m -3 m'
_symmetry_Int_Tables_number 229
_symmetry_space_group_name_Hall '-I 4 2 3'
loop_
_atom_site_label
_atom_site_fract_x
_atom_site_fract_y
_atom_site_fract_z
K1 0.250 0.250 0.250
Pa1 0.000 0.000 0.500
Mn1 0.000 0.000 0.000
O1 0.000 0.000 0.237
O2 0.000 0.250 0.500
# - Spin magnetization: 4.2 μB per formula unit
# - Fermi-level density of states: 24.6 states/eV per cell
# - Theoretical density: 5.83 Mg/m³
# - Final energy: -7.59 eV/atom